(1)
# KAu3 PBE-GGA relaxed
data_KAu3
_cell_length_a 9.968
_cell_length_b 5.825
_cell_length_c 9.988
_cell_angle_alpha 90.00
_cell_angle_beta 109.53
_cell_angle_gamma 90.00
_symmetry_space_group_name_H-M 'C 1 2/m 1'
_symmetry_Int_Tables_number 12
loop_
_symmetry_equiv_pos_as_xyz
'x,y,z'
'-x,-y,-z'
'-x,y,-z'
'x,-y,z'
'x+1/2,y+1/2,z'
'-x+1/2,-y+1/2,-z'
'-x+1/2,y+1/2,-z'
'x+1/2,-y+1/2,z'
loop_
_atom_site_label
_atom_site_fract_x
_atom_site_fract_y
_atom_site_fract_z
_atom_site_occupancy
K1 0.000 0.000 0.000 1
K2 0.142 0.000 0.427 1
Au1 0.000 0.500 0.500 1
Au2 0.083 0.500 0.246 1
Au3 0.167 0.500 0.002 1
Au4 0.168 0.250 0.755 1
# - Calculated total energy: -2.987 eV/atom
# - Formation energy from the elements: -0.254 eV/atom
# - DOS at the Fermi energy: 0.19 states/eV per atom
# - Spin magnetization: 0.00 μB per cell

---

(2)
# K5Au2 PBE-GGA relaxed
data_K5Au2
_cell_length_a 18.373
_cell_length_b 7.536
_cell_length_c 9.013
_cell_angle_alpha 90.00
_cell_angle_beta 98.02
_cell_angle_gamma 90.00
_symmetry_space_group_name_H-M 'C 1 2/c 1'
_symmetry_Int_Tables_number 15
loop_
_symmetry_equiv_pos_as_xyz
'x,y,z'
'-x,-y,-z'
'-x,y,-z+1/2'
'x,-y,z+1/2'
'x+1/2,y+1/2,z'
'-x+1/2,-y+1/2,-z'
'-x+1/2,y+1/2,-z+1/2'
'x+1/2,-y+1/2,z+1/2'
loop_
_atom_site_label
_atom_site_fract_x
_atom_site_fract_y
_atom_site_fract_z
_atom_site_occupancy
K1 0.000 0.086 0.250 1
K2 0.087 0.374 0.923 1
K3 0.220 0.077 0.325 1
Au1 0.103 0.207 0.578 1
# - Calculated total energy: -1.915 eV/atom
# - Formation energy from the elements: -0.195 eV/atom
# - DOS at the Fermi energy: 0.52 states/eV per atom
# - Spin magnetization: 0.00 μB per cell

---

(3)
# K7Au3 PBE-GGA relaxed
data_K7Au3
_cell_length_a 11.930
_cell_length_b 11.930
_cell_length_c 11.930
_cell_angle_alpha 90.00
_cell_angle_beta 90.00
_cell_angle_gamma 90.00
_symmetry_space_group_name_H-M 'I m -3 m'
_symmetry_Int_Tables_number 229
_symmetry_space_group_name_Hall '-I 4 2 3'
loop_
_atom_site_label
_atom_site_fract_x
_atom_site_fract_y
_atom_site_fract_z
_atom_site_occupancy
K1 0.000 0.250 0.500 1
K2 0.157 0.157 0.157 1
Au1 0.000 0.000 0.362 1
# - Calculated total energy: -1.939 eV/atom
# - Formation energy from the elements: -0.188 eV/atom
# - DOS at the Fermi energy: 0.37 states/eV per atom
# - Spin magnetization: 0.33 μB per cell

---

(4)
# KAu3 PBE-GGA relaxed
data_KAu3
_cell_length_a 8.323
_cell_length_b 7.509
_cell_length_c 6.422
_cell_angle_alpha 90.00
_cell_angle_beta 90.00
_cell_angle_gamma 90.00
_symmetry_space_group_name_H-M 'P n m a'
_symmetry_Int_Tables_number 62
loop_
_symmetry_equiv_pos_as_xyz
'x,y,z'
'-x,-y,-z'
'-x+1/2,-y,z+1/2'
'x+1/2,y,-z+1/2'
'x+1/2,-y+1/2,-z+1/2'
'-x+1/2,y+1/2,z+1/2'
'-x,y+1/2,-z'
'x,-y+1/2,z'
loop_
_atom_site_label
_atom_site_fract_x
_atom_site_fract_y
_atom_site_fract_z
_atom_site_occupancy
K1 0.022 0.250 0.120 1
Au1 0.146 0.062 0.584 1
Au2 0.152 0.750 0.343 1
# - Calculated total energy: -2.940 eV/atom
# - Formation energy from the elements: -0.208 eV/atom
# - DOS at the Fermi energy: 0.13 states/eV per atom
# - Spin magnetization: 0.00 μB per cell

---

(5)
# K4Au PBE-GGA relaxed
data_K4Au
_cell_length_a 8.570
_cell_length_b 16.770
_cell_length_c 7.499
_cell_angle_alpha 90.00
_cell_angle_beta 90.00
_cell_angle_gamma 90.00
_symmetry_space_group_name_H-M 'I b a m'
_symmetry_Int_Tables_number 72
_symmetry_space_group_name_Hall '-I 2 2c'
loop_
_atom_site_label
_atom_site_fract_x
_atom_site_fract_y
_atom_site_fract_z
_atom_site_occupancy
K1 0.143 0.161 0.000 1
K2 0.196 0.425 0.000 1
Au1 0.000 0.000 0.250 1
# - Calculated total energy: -1.657 eV/atom
# - Formation energy from the elements: -0.124 eV/atom
# - DOS at the Fermi energy: 0.58 states/eV per atom
# - Spin magnetization: 0.00 μB per cell

---

(6)
# KAu7 PBE-GGA relaxed
data_KAu7
_cell_length_a 8.531
_cell_length_b 8.531
_cell_length_c 8.531
_cell_angle_alpha 90.00
_cell_angle_beta 90.00
_cell_angle_gamma 90.00
_symmetry_space_group_name_H-M 'F m -3 m'
_symmetry_Int_Tables_number 225
_symmetry_space_group_name_Hall '-F 4 2 3'
loop_
_atom_site_label
_atom_site_fract_x
_atom_site_fract_y
_atom_site_fract_z
_atom_site_occupancy
K1 0.000 0.000 0.000 1
Au1 0.000 0.000 0.500 1
Au2 0.000 0.250 0.250 1
# - Calculated total energy: -2.919 eV/atom
# - Formation energy from the elements: 0.086 eV/atom
# - DOS at the Fermi energy: 0.72 states/eV per atom
# - Spin magnetization: 0.00 μB per cell

---

(7)
# KAu3 PBE-GGA relaxed
data_KAu3
_cell_length_a 4.412
_cell_length_b 4.412
_cell_length_c 4.412
_cell_angle_alpha 90.00
_cell_angle_beta 90.00
_cell_angle_gamma 90.00
_symmetry_space_group_name_H-M 'P m -3 m'
_symmetry_Int_Tables_number 221
_symmetry_space_group_name_Hall '-P 4 2 3'
loop_
_atom_site_label
_atom_site_fract_x
_atom_site_fract_y
_atom_site_fract_z
_atom_site_occupancy
K1 0.000 0.000 0.000 1
Au1 0.000 0.500 0.500 1
# - Calculated total energy: -2.648 eV/atom
# - Formation energy from the elements: 0.084 eV/atom
# - DOS at the Fermi energy: 0.32 states/eV per atom
# - Spin magnetization: 0.00 μB per cell

---

(8)
# KAu3 PBE-GGA relaxed
data_KAu3
_cell_length_a 12.465
_cell_length_b 2.852
_cell_length_c 5.557
_cell_angle_alpha 90.00
_cell_angle_beta 114.68
_cell_angle_gamma 90.00
_symmetry_space_group_name_H-M 'C 1 2/m 1'
_symmetry_Int_Tables_number 12
loop_
_symmetry_equiv_pos_as_xyz
'x,y,z'
'-x,-y,-z'
'-x,y,-z'
'x,-y,z'
'x+1/2,y+1/2,z'
'-x+1/2,-y+1/2,-z'
'-x+1/2,y+1/2,-z'
'x+1/2,-y+1/2,z'
loop_
_atom_site_label
_atom_site_fract_x
_atom_site_fract_y
_atom_site_fract_z
_atom_site_occupancy
K1 0.000 0.000 0.000 1
Au1 0.000 0.500 0.500 1
Au2 0.220 0.000 0.724 1
# - Calculated total energy: -2.775 eV/atom
# - Formation energy from the elements: -0.042 eV/atom
# - DOS at the Fermi energy: 0.21 states/eV per atom
# - Spin magnetization: 0.00 μB per cell

---

(9)
# K5Au3 PBE-GGA relaxed
data_K5Au3
_cell_length_a 8.897
_cell_length_b 11.598
_cell_length_c 5.614
_cell_angle_alpha 90.00
_cell_angle_beta 90.00
_cell_angle_gamma 90.00
_symmetry_space_group_name_H-M 'C m m m'
_symmetry_Int_Tables_number 65
_symmetry_space_group_name_Hall '-C 2 2'
loop_
_atom_site_label
_atom_site_fract_x
_atom_site_fract_y
_atom_site_fract_z
_atom_site_occupancy
K1 0.000 0.000 0.000 1
K2 0.202 0.500 0.500 1
K3 0.250 0.250 0.000 1
Au1 0.000 0.195 0.500 1
Au2 0.000 0.500 0.000 1
# - Calculated total energy: -2.104 eV/atom
# - Formation energy from the elements: -0.189 eV/atom
# - DOS at the Fermi energy: 0.55 states/eV per atom
# - Spin magnetization: 0.00 μB per cell

---

(10)
# K2Au3 PBE-GGA relaxed
data_K2Au3
_cell_length_a 4.978
_cell_length_b 5.573
_cell_length_c 10.118
_cell_angle_alpha 90.00
_cell_angle_beta 90.00
_cell_angle_gamma 90.00
_symmetry_space_group_name_H-M 'I m m m'
_symmetry_Int_Tables_number 71
_symmetry_space_group_name_Hall '-I 2 2'
loop_
_atom_site_label
_atom_site_fract_x
_atom_site_fract_y
_atom_site_fract_z
_atom_site_occupancy
K1 0.000 0.000 0.194 1
Au1 0.000 0.254 0.500 1
Au2 0.000 0.500 0.000 1
# - Calculated total energy: -2.746 eV/atom
# - Formation energy from the elements: -0.341 eV/atom
# - DOS at the Fermi energy: 0.21 states/eV per atom
# - Spin magnetization: 0.00 μB per cell

---

(11)
# K13Au2 PBE-GGA relaxed
data_K13Au2
_cell_length_a 8.062
_cell_length_b 10.392
_cell_length_c 12.359
_cell_angle_alpha 65.83
_cell_angle_beta 84.41
_cell_angle_gamma 82.84
_symmetry_space_group_name_H-M 'P -1'
_symmetry_Int_Tables_number 2
loop_
_symmetry_equiv_pos_as_xyz
'x,y,z'
'-x,-y,-z'
loop_
_atom_site_label
_atom_site_fract_x
_atom_site_fract_y
_atom_site_fract_z
_atom_site_occupancy
K1 0.000 0.000 0.000 1
K2 0.075 0.845 0.692 1
K3 0.154 0.691 0.384 1
K4 0.230 0.543 0.076 1
K5 0.308 0.385 0.771 1
K6 0.383 0.230 0.463 1
K7 0.461 0.077 0.154 1
Au1 0.192 0.115 0.730 1
# - Calculated total energy: -1.475 eV/atom
# - Formation energy from the elements: -0.086 eV/atom
# - DOS at the Fermi energy: 0.63 states/eV per atom
# - Spin magnetization: 0.00 μB per cell

---

(12)
# KAu3 PBE-GGA relaxed
data_KAu3
_cell_length_a 3.530
_cell_length_b 3.530
_cell_length_c 7.585
_cell_angle_alpha 90.00
_cell_angle_beta 90.00
_cell_angle_gamma 90.00
_symmetry_space_group_name_H-M 'P 4/m m m'
_symmetry_Int_Tables_number 123
_symmetry_space_group_name_Hall '-P 4 2'
loop_
_atom_site_label
_atom_site_fract_x
_atom_site_fract_y
_atom_site_fract_z
_atom_site_occupancy
K1 0.000 0.000 0.000 1
Au1 0.000 0.000 0.500 1
Au2 0.500 0.500 0.311 1
# - Calculated total energy: -2.709 eV/atom
# - Formation energy from the elements: 0.023 eV/atom
# - DOS at the Fermi energy: 0.49 states/eV per atom
# - Spin magnetization: 0.00 μB per cell

---

(13)
# K6Au PBE-GGA relaxed
data_K6Au
_cell_length_a 15.373
_cell_length_b 13.974
_cell_length_c 8.055
_cell_angle_alpha 90.00
_cell_angle_beta 90.00
_cell_angle_gamma 90.00
_symmetry_space_group_name_H-M 'P n m a'
_symmetry_Int_Tables_number 62
loop_
_symmetry_equiv_pos_as_xyz
'x,y,z'
'-x,-y,-z'
'-x+1/2,-y,z+1/2'
'x+1/2,y,-z+1/2'
'x+1/2,-y+1/2,-z+1/2'
'-x+1/2,y+1/2,z+1/2'
'-x,y+1/2,-z'
'x,-y+1/2,z'
loop_
_atom_site_label
_atom_site_fract_x
_atom_site_fract_y
_atom_site_fract_z
_atom_site_occupancy
K1 0.002 0.083 0.248 1
K2 0.004 0.250 0.745 1
K3 0.247 0.750 0.914 1
K4 0.248 0.583 0.414 1
Au1 0.127 0.250 0.082 1
# - Calculated total energy: -1.500 eV/atom
# - Formation energy from the elements: -0.091 eV/atom
# - DOS at the Fermi energy: 0.61 states/eV per atom
# - Spin magnetization: 0.00 μB per cell

---

(14)
# K3Au2 PBE-GGA relaxed
data_K3Au2
_cell_length_a 10.283
_cell_length_b 26.457
_cell_length_c 5.532
_cell_angle_alpha 90.00
_cell_angle_beta 90.00
_cell_angle_gamma 90.00
_symmetry_space_group_name_H-M 'F d d 2'
_symmetry_Int_Tables_number 43
_symmetry_space_group_name_Hall 'F 2 -2d'
loop_
_atom_site_label
_atom_site_fract_x
_atom_site_fract_y
_atom_site_fract_z
_atom_site_occupancy
K1 0.000 0.000 0.000 1
K2 0.087 0.171 0.741 1
Au1 0.088 0.300 0.751 1
# - Calculated total energy: -2.190 eV/atom
# - Formation energy from the elements: -0.220 eV/atom
# - DOS at the Fermi energy: 0.53 states/eV per atom
# - Spin magnetization: 0.00 μB per cell

---

(15)
# K5Au4 PBE-GGA relaxed
data_K5Au4
_cell_length_a 11.986
_cell_length_b 4.924
_cell_length_c 11.624
_cell_angle_alpha 90.00
_cell_angle_beta 114.46
_cell_angle_gamma 90.00
_symmetry_space_group_name_H-M 'C 1 2/m 1'
_symmetry_Int_Tables_number 12
loop_
_symmetry_equiv_pos_as_xyz
'x,y,z'
'-x,-y,-z'
'-x,y,-z'
'x,-y,z'
'x+1/2,y+1/2,z'
'-x+1/2,-y+1/2,-z'
'-x+1/2,y+1/2,-z'
'x+1/2,-y+1/2,z'
loop_
_atom_site_label
_atom_site_fract_x
_atom_site_fract_y
_atom_site_fract_z
_atom_site_occupancy
K1 0.000 0.000 0.000 1
K2 0.102 0.000 0.399 1
K3 0.247 0.500 0.176 1
Au1 0.059 0.500 0.835 1
Au2 0.113 0.500 0.614 1
# - Calculated total energy: -2.362 eV/atom
# - Formation energy from the elements: -0.296 eV/atom
# - DOS at the Fermi energy: 0.25 states/eV per atom
# - Spin magnetization: 0.00 μB per cell

---

(16)
# KAu3 PBE-GGA relaxed
data_KAu3
_cell_length_a 2.874
_cell_length_b 4.793
_cell_length_c 7.138
_cell_angle_alpha 90.00
_cell_angle_beta 90.00
_cell_angle_gamma 90.00
_symmetry_space_group_name_H-M 'P m m 2'
_symmetry_Int_Tables_number 25
loop_
_symmetry_equiv_pos_as_xyz
'x,y,z'
'-x,-y,z'
'-x,y,z'
'x,-y,z'
loop_
_atom_site_label
_atom_site_fract_x
_atom_site_fract_y
_atom_site_fract_z
_atom_site_occupancy
K1 0.000 0.000 0.000 1
Au1 0.000 0.500 0.624 1
Au2 0.500 0.000 0.569 1
Au3 0.500 0.500 0.265 1
# - Calculated total energy: -2.787 eV/atom
# - Formation energy from the elements: -0.055 eV/atom
# - DOS at the Fermi energy: 0.20 states/eV per atom
# - Spin magnetization: 0.00 μB per cell

---

(17)
# K5Au3 PBE-GGA relaxed
data_K5Au3
_cell_length_a 8.641
_cell_length_b 8.641
_cell_length_c 16.026
_cell_angle_alpha 90.00
_cell_angle_beta 90.00
_cell_angle_gamma 90.00
_symmetry_space_group_name_H-M 'P 4/n c c'
_symmetry_Int_Tables_number 130
loop_
_symmetry_equiv_pos_as_xyz
'x,y,z'
'-x,-y,-z'
'-y+1/2,x,z'
'y+1/2,-x,-z'
'-x+1/2,-y+1/2,z'
'x+1/2,y+1/2,-z'
'y,-x+1/2,z'
'-y,x+1/2,-z'
'x+1/2,-y,-z+1/2'
'-x+1/2,y,z+1/2'
'-y,-x,-z+1/2'
'y,x,z+1/2'
'-x,y+1/2,-z+1/2'
'x,-y+1/2,z+1/2'
'y+1/2,x+1/2,-z+1/2'
'-y+1/2,-x+1/2,z+1/2'
loop_
_atom_site_label
_atom_site_fract_x
_atom_site_fract_y
_atom_site_fract_z
_atom_site_occupancy
K1 0.074 0.580 0.106 1
K2 0.250 0.250 0.243 1
Au1 0.133 0.633 0.750 1
Au2 0.250 0.250 0.004 1
# - Calculated total energy: -2.184 eV/atom
# - Formation energy from the elements: -0.269 eV/atom
# - DOS at the Fermi energy: 0.31 states/eV per atom
# - Spin magnetization: 0.00 μB per cell

---

(18)
# K6Au PBE-GGA relaxed
data_K6Au
_cell_length_a 11.255
_cell_length_b 11.255
_cell_length_c 11.255
_cell_angle_alpha 90.00
_cell_angle_beta 90.00
_cell_angle_gamma 90.00
_symmetry_space_group_name_H-M 'I m -3 m'
_symmetry_Int_Tables_number 229
_symmetry_space_group_name_Hall '-I 4 2 3'
loop_
_atom_site_label
_atom_site_fract_x
_atom_site_fract_y
_atom_site_fract_z
_atom_site_occupancy
K1 0.000 0.250 0.500 1
Au1 0.000 0.000 0.000 1
# - Calculated total energy: -0.911 eV/atom
# - Formation energy from the elements: 0.498 eV/atom
# - DOS at the Fermi energy: 0.65 states/eV per atom
# - Spin magnetization: 0.00 μB per cell

---

(19)
# K5Au4 PBE-GGA relaxed
data_K5Au4
_cell_length_a 10.198
_cell_length_b 10.198
_cell_length_c 5.385
_cell_angle_alpha 90.00
_cell_angle_beta 90.00
_cell_angle_gamma 90.00
_symmetry_space_group_name_H-M 'I 4/m m m'
_symmetry_Int_Tables_number 139
_symmetry_space_group_name_Hall '-I 4 2'
loop_
_atom_site_label
_atom_site_fract_x
_atom_site_fract_y
_atom_site_fract_z
_atom_site_occupancy
K1 0.000 0.000 0.000 1
K2 0.183 0.183 0.500 1
Au1 0.000 0.355 0.000 1
# - Calculated total energy: -2.156 eV/atom
# - Formation energy from the elements: -0.090 eV/atom
# - DOS at the Fermi energy: 0.28 states/eV per atom
# - Spin magnetization: 1.50 μB per cell

---

(20)
# K8Au3 PBE-GGA relaxed
data_K8Au3
_cell_length_a 8.085
_cell_length_b 8.085
_cell_length_c 8.085
_cell_angle_alpha 90.00
_cell_angle_beta 90.00
_cell_angle_gamma 90.00
_symmetry_space_group_name_H-M 'P m -3 m'
_symmetry_Int_Tables_number 221
_symmetry_space_group_name_Hall '-P 4 2 3'
loop_
_atom_site_label
_atom_site_fract_x
_atom_site_fract_y
_atom_site_fract_z
_atom_site_occupancy
K1 0.245 0.245 0.245 1
Au1 0.000 0.000 0.500 1
# - Calculated total energy: -1.837 eV/atom
# - Formation energy from the elements: -0.145 eV/atom
# - DOS at the Fermi energy: 0.98 states/eV per atom
# - Spin magnetization: 0.01 μB per cell